This record from the Alexandria database describes SiPW at its PBEsol-relaxed geometry. The functional is SCAN.

a b c (Å): 4.042 4.042 4.042
angles (deg): 60.00 60.00 60.00
Fractional positions:
1 P 0.500 0.500 0.500
2 Si 0.250 0.250 0.250
3 W 0.000 0.000 0.000

## Properties
Volume in A^3/atom: 15.567
Total energy in eV/atom: -29.21
Formation energy (no corrections) in eV/f.u.: 2.46